No. 1
A plane-wave DFT calculation with PBEsol was carried out for a geometry-optimized Cr8CoCu3Se16 structure.

a b c (Å): 7.211 7.211 10.186
angles (deg): 90.00 90.00 90.00
Atoms (fractional coordinates):
Cr 0.000 0.250 0.374
Cr 0.000 0.750 0.374
Cr 0.248 0.500 0.125
Cr 0.250 0.000 0.626
Cr 0.500 0.248 0.875
Cr 0.500 0.752 0.875
Cr 0.750 0.000 0.626
Cr 0.752 0.500 0.125
Co 0.000 0.000 0.000
Cu 0.000 0.500 0.750
Cu 0.500 0.000 0.250
Cu 0.500 0.500 0.500
Se 0.000 0.236 0.617
Se 0.000 0.259 0.129
Se 0.000 0.741 0.129
Se 0.000 0.764 0.617
Se 0.235 0.500 0.368
Se 0.236 0.000 0.383
Se 0.259 0.000 0.871
Se 0.266 0.500 0.882
Se 0.500 0.235 0.632
Se 0.500 0.266 0.118
Se 0.500 0.734 0.118
Se 0.500 0.765 0.632
Se 0.734 0.500 0.882
Se 0.741 0.000 0.871
Se 0.764 0.000 0.383
Se 0.765 0.500 0.368

Properties
Magnetization in Bohr magnetons per cell: 18.67
DOS(E_F) in states/eV per atom: 0.36
Formation energy without anion corrections in eV per atom: -0.425
Space group: No. 115

No. 2
A plane-wave DFT calculation with PBEsol was carried out for a geometry-optimized CrCoI2F structure.

a b c (Å): 5.410 5.410 3.801
angles (deg): 90.00 90.00 90.00
Atoms (fractional coordinates):
Cr 0.000 0.000 0.000
Co 0.500 0.500 0.500
I 0.000 0.500 0.000
I 0.500 0.000 0.000
F 0.000 0.000 0.500

Properties
Magnetization in Bohr magnetons per cell: 6.04
DOS(E_F) in states/eV per atom: 1.31
Formation energy without anion corrections in eV per atom: -0.084
Space group: No. 123

No. 3
A plane-wave DFT calculation with PBEsol was carried out for a geometry-optimized CrFe2Co structure.

a b c (Å): 4.242 4.242 2.431
angles (deg): 90.00 90.00 109.93
Atoms (fractional coordinates):
Cr 0.000 0.000 0.000
Fe 0.000 0.500 0.500
Fe 0.500 0.000 0.500
Co 0.500 0.500 0.000

Properties
Magnetization in Bohr magnetons per cell: 1.46
DOS(E_F) in states/eV per atom: 1.27
Energy of formation in meV/atom: 84
Space group: No. 65

No. 4
A plane-wave DFT calculation with PBEsol was carried out for a geometry-optimized CrFe2Co structure.

a b c (Å): 2.402 3.925 4.641
angles (deg): 90.00 100.09 90.00
Atoms (fractional coordinates):
Cr 0.000 0.000 0.000
Fe 0.243 0.500 0.750
Fe 0.757 0.500 0.250
Co 0.500 0.000 0.500

Properties
Magnetization in Bohr magnetons per cell: 5.57
DOS(E_F) in states/eV per atom: 1.29
Energy of formation in meV/atom: 107
Space group: No. 10

no.,E (Ha/atom)
1,-0.23124
2,-0.17537
3,-0.32681
4,-0.32596